# 1
RbSrHg2Pt | PBE-GGA | optimized geometry

Structure (POSCAR):
```
RbSrHg2Pt
1.0
-1.389 -0.159 5.332
2.288 -4.995 0.447
4.911 2.370 1.350
Sr Rb Hg Pt
1 1 2 1
direct
0.000 0.000 0.500
0.500 0.500 0.500
0.000 0.500 0.000
0.500 0.000 0.000
0.000 0.000 0.000
```

Output
* E_tot: -2.173 eV per atom
* formation enthalpy at 0 K: -30.4 kJ per mole of atoms
* volume: 171 Å³ per cell
* Fermi-level density of states: 0.467 states/eV per atom

---

# 2
SrTaO3 | PBE-GGA | optimized geometry

Structure (POSCAR):
```
SrTaO3
1.0
-3.893 -3.197 -1.985
-0.024 -5.911 2.270
-4.227 -1.222 3.156
Sr O Ta
2 6 2
direct
0.840 0.285 0.572
0.094 0.535 0.826
0.053 0.682 0.236
0.430 0.138 0.612
0.594 0.680 0.751
0.914 0.140 0.071
0.317 0.155 0.175
0.490 0.665 0.348
0.648 0.923 0.322
0.343 0.897 0.017
```

Output
* E_tot: -8.429 eV per atom
* volume: 142 Å³ per cell
* raw formation energy: -2.75 eV/atom
* Fermi-level density of states: 0.000 states/eV per atom

---

# 3
La2YPd | PBE-GGA | optimized geometry

Structure (POSCAR):
```
La2YPd
1.0
3.794 0.000 0.000
0.000 3.794 0.000
0.000 0.000 8.362
Y Pd La
1 1 2
direct
0.500 0.500 0.500
0.500 0.500 0.000
0.000 0.000 0.795
0.000 0.000 0.205
```

Output
* E_tot: -5.704 eV per atom
* formation enthalpy at 0 K: -31.5 kJ per mole of atoms
* volume: 120 Å³ per cell
* Fermi-level density of states: 1.492 states/eV per atom

---

# 4
Pa3AgO8 | PBE-GGA | optimized geometry

Structure (POSCAR):
```
Pa3AgO8
1.0
-3.840 1.989 -5.673
-2.906 -4.938 -4.249
-6.982 -0.961 -0.096
Pa Ag O
3 1 8
direct
0.000 0.500 0.000
0.500 0.000 0.000
0.500 0.500 0.000
0.500 0.500 0.500
0.726 0.726 0.821
0.274 0.274 0.179
0.749 0.749 0.175
0.749 0.328 0.175
0.328 0.749 0.175
0.672 0.251 0.825
0.251 0.672 0.825
0.251 0.251 0.825
```

Output
* E_tot: -8.873 eV per atom
* volume: 252 Å³ per cell
* raw formation energy: -2.96 eV/atom
* Fermi-level density of states: 0.000 states/eV per atom

---

# 5
TlFeTc2 | PBE-GGA | optimized geometry

Structure (POSCAR):
```
TlFeTc2
1.0
-4.142 0.883 -2.602
0.392 -1.361 -4.764
0.939 -2.268 4.322
Fe Tc Tl
1 2 1
direct
0.750 0.250 0.500
0.000 0.000 0.000
0.500 0.500 0.000
0.250 0.750 0.500
```

Output
* E_tot: -7.295 eV per atom
* formation enthalpy at 0 K: 57.5 kJ per mole of atoms
* volume: 63 Å³ per cell
* Fermi-level density of states: 1.036 states/eV per atom

---

# 6
Nd2ScAg | PBE-GGA | optimized geometry

Structure (POSCAR):
```
Nd2ScAg
1.0
-2.200 2.633 -1.548
-2.964 -2.301 0.300
-1.563 2.957 7.247
Sc Nd Ag
1 2 1
direct
0.500 0.500 0.500
0.000 0.000 0.764
0.000 0.000 0.236
0.500 0.500 0.000
```

Output
* E_tot: -4.760 eV per atom
* formation enthalpy at 0 K: -7.7 kJ per mole of atoms
* volume: 113 Å³ per cell
* Fermi-level density of states: 1.508 states/eV per atom

---

# 7
TbCe2Fe | PBE-GGA | optimized geometry

Structure (POSCAR):
```
TbCe2Fe
1.0
3.675 0.000 0.000
1.838 3.183 0.000
1.838 1.061 8.868
Tb Fe Ce
1 1 2
direct
0.500 0.500 0.500
0.000 0.000 0.000
0.275 0.275 0.174
0.725 0.725 0.826
```

Output
* E_tot: -6.141 eV per atom
* formation enthalpy at 0 K: 9.6 kJ per mole of atoms
* volume: 104 Å³ per cell
* Fermi-level density of states: 1.982 states/eV per atom

---

# 8
CaPaGe2Rh5 | PBE-GGA | optimized geometry

Structure (POSCAR):
```
CaPaGe2Rh5
1.0
4.764 0.000 0.000
0.000 4.764 0.000
0.000 0.000 7.328
Ca Pa Ge Rh
1 1 2 5
direct
0.000 0.000 0.500
0.000 0.000 0.000
0.500 0.500 0.172
0.500 0.500 0.828
0.000 0.500 0.211
0.500 0.000 0.211
0.000 0.500 0.789
0.500 0.000 0.789
0.500 0.500 0.500
```

Output
* E_tot: -6.861 eV per atom
* formation enthalpy at 0 K: -45.6 kJ per mole of atoms
* volume: 166 Å³ per cell
* Fermi-level density of states: 0.496 states/eV per atom

---

# 9
NiTe2As2 | PBE-GGA | optimized geometry

Structure (POSCAR):
```
NiTe2As2
1.0
7.220 0.000 0.000
0.000 7.220 0.000
0.000 0.000 4.387
Ni As Te
2 4 4
direct
0.000 0.000 0.000
0.500 0.500 0.000
0.321 0.821 0.000
0.821 0.679 0.000
0.679 0.179 0.000
0.179 0.321 0.000
0.165 0.665 0.500
0.665 0.835 0.500
0.835 0.335 0.500
0.335 0.165 0.500
```

Output
* E_tot: -3.840 eV per atom
* volume: 229 Å³ per cell
* raw formation energy: 0.43 eV/atom
* Fermi-level density of states: 0.914 states/eV per atom

---

# 10
La4PIr4 | PBE-GGA | optimized geometry

Structure (POSCAR):
```
La4PIr4
1.0
-7.629 -3.909 -0.863
2.303 -2.767 -7.827
2.189 -4.789 2.337
P Ir La
2 8 8
direct
0.250 0.250 0.750
0.750 0.750 0.250
0.646 0.528 0.094
0.854 0.972 0.094
0.472 0.146 0.594
0.028 0.354 0.594
0.354 0.472 0.906
0.146 0.028 0.906
0.528 0.854 0.406
0.972 0.646 0.406
0.532 0.186 0.104
0.968 0.314 0.104
0.814 0.032 0.604
0.686 0.468 0.604
0.468 0.814 0.896
0.032 0.686 0.896
0.186 0.968 0.396
0.314 0.532 0.396
```

Output
* E_tot: -7.513 eV per atom
* formation enthalpy at 0 K: -75.6 kJ per mole of atoms
* volume: 428 Å³ per cell
* Fermi-level density of states: 0.590 states/eV per atom

---

# 11
Pm7DyTm3 | PBE-GGA | optimized geometry

Structure (POSCAR):
```
Pm7DyTm3
1.0
-5.563 3.530 -7.786
-0.839 -1.271 10.082
5.568 8.886 6.801
Pm Dy Tm
14 2 6
direct
0.166 0.846 0.274
0.155 0.835 0.774
0.083 0.419 0.471
0.085 0.420 0.973
0.580 0.917 0.971
0.580 0.915 0.473
0.277 0.277 0.750
0.723 0.723 0.250
0.420 0.083 0.029
0.420 0.085 0.527
0.915 0.580 0.027
0.917 0.581 0.529
0.845 0.165 0.226
0.834 0.154 0.726
0.500 0.500 0.000
0.500 0.500 0.500
0.327 0.667 0.725
0.000 0.000 0.000
0.000 0.000 0.500
0.332 0.672 0.225
0.668 0.328 0.775
0.673 0.333 0.275
```

Output
* E_tot: -4.480 eV per atom
* formation enthalpy at 0 K: 17.5 kJ per mole of atoms
* volume: 768 Å³ per cell
* Fermi-level density of states: 1.546 states/eV per atom

---

# 12
Ba8Li2Pd | PBE-GGA | optimized geometry

Structure (POSCAR):
```
Ba8Li2Pd
1.0
4.531 0.000 -1.139
-0.189 11.291 -0.753
0.418 -0.615 11.242
Ba Li Pd
8 2 1
direct
0.594 0.548 0.189
0.352 0.994 0.704
0.213 0.342 0.426
0.992 0.808 0.985
0.787 0.658 0.574
0.648 0.006 0.296
0.406 0.452 0.811
0.008 0.192 0.015
0.177 0.760 0.354
0.823 0.240 0.646
0.500 0.000 0.000
```

Output
* E_tot: -2.291 eV per atom
* formation enthalpy at 0 K: -7.0 kJ per mole of atoms
* volume: 578 Å³ per cell
* Fermi-level density of states: 1.192 states/eV per atom

---

# 13
Tl2TcRh | PBE-GGA | optimized geometry

Structure (POSCAR):
```
Tl2TcRh
1.0
-0.582 -2.084 5.015
4.527 -1.880 2.409
-1.499 4.575 -2.579
Rh Tc Tl
1 1 2
direct
0.500 0.500 0.000
0.750 0.250 0.500
0.000 0.000 0.000
0.250 0.750 0.500
```

Output
* E_tot: -4.961 eV per atom
* formation enthalpy at 0 K: 62.9 kJ per mole of atoms
* volume: 77 Å³ per cell
* Fermi-level density of states: 0.966 states/eV per atom

---

# 14
AcNd3Pu2Se6 | PBE-GGA | optimized geometry

Structure (POSCAR):
```
AcNd3Pu2Se6
1.0
7.343 -0.002 -0.001
-3.671 6.359 -0.001
-1.226 -2.123 6.969
Ac Nd Pu Se
1 3 2 6
direct
0.000 0.000 0.000
0.162 0.838 0.500
0.838 0.162 0.500
0.500 0.500 0.500
0.332 0.668 0.000
0.668 0.332 0.000
0.916 0.570 0.748
0.736 0.736 0.247
0.084 0.430 0.252
0.570 0.916 0.748
0.264 0.264 0.753
0.430 0.084 0.252
```

Output
* E_tot: -7.406 eV per atom
* volume: 325 Å³ per cell
* raw formation energy: -1.74 eV/atom
* Fermi-level density of states: 1.787 states/eV per atom

---

# 15
Y3SbSe | PBE-GGA | optimized geometry

Structure (POSCAR):
```
Y3SbSe
1.0
5.318 0.000 0.000
0.000 5.318 0.000
0.000 0.000 5.318
Y Sb Se
3 1 1
direct
0.000 0.500 0.000
0.000 0.000 0.500
0.500 0.000 0.000
0.500 0.500 0.500
0.000 0.000 0.000
```

Output
* E_tot: -6.044 eV per atom
* volume: 150 Å³ per cell
* raw formation energy: -0.64 eV/atom
* Fermi-level density of states: 1.936 states/eV per atom

---

# 16
Mg4Ag2Pt | PBE-GGA | optimized geometry

Structure (POSCAR):
```
Mg4Ag2Pt
1.0
4.377 0.000 1.367
1.975 3.906 1.367
-0.076 -0.047 7.931
Mg Ag Pt
4 2 1
direct
0.874 0.874 0.377
0.126 0.126 0.623
0.625 0.625 0.124
0.375 0.375 0.876
0.748 0.748 0.755
0.252 0.252 0.245
0.000 0.000 0.000
```

Output
* E_tot: -2.965 eV per atom
* formation enthalpy at 0 K: -36.3 kJ per mole of atoms
* volume: 136 Å³ per cell
* Fermi-level density of states: 0.167 states/eV per atom

---

# 17
Tm5Pu3As8 | PBE-GGA | optimized geometry

Structure (POSCAR):
```
Tm5Pu3As8
1.0
-1.929 -4.881 6.285
0.364 -8.134 -0.871
5.826 -4.269 3.806
Tm Pu As
5 3 8
direct
0.500 0.000 0.000
0.500 0.500 0.000
0.000 0.000 0.000
0.000 0.500 0.000
0.500 0.500 0.500
0.500 0.000 0.500
0.000 0.000 0.500
0.000 0.500 0.500
0.250 0.250 0.751
0.250 0.749 0.751
0.749 0.250 0.751
0.749 0.749 0.752
0.750 0.750 0.249
0.750 0.251 0.249
0.251 0.750 0.249
0.251 0.251 0.248
```

Output
* E_tot: -7.725 eV per atom
* formation enthalpy at 0 K: -126.9 kJ per mole of atoms
* volume: 386 Å³ per cell
* Fermi-level density of states: 2.070 states/eV per atom

---

# 18
YAlGe2P | PBE-GGA | optimized geometry

Structure (POSCAR):
```
YAlGe2P
1.0
4.820 0.000 0.000
0.000 4.820 0.000
0.000 0.000 4.773
Y P Ge Al
1 1 2 1
direct
0.500 0.500 0.500
0.000 0.000 0.500
0.000 0.500 0.000
0.500 0.000 0.000
0.000 0.000 0.000
```

Output
* E_tot: -4.844 eV per atom
* formation enthalpy at 0 K: 12.2 kJ per mole of atoms
* volume: 111 Å³ per cell
* Fermi-level density of states: 0.768 states/eV per atom

---

# 19
SiAs2H | PBE-GGA | optimized geometry

Structure (POSCAR):
```
SiAs2H
1.0
5.273 0.000 0.000
0.000 5.273 0.000
2.636 2.636 5.033
H As Si
2 4 2
direct
0.500 0.500 0.000
0.250 0.750 0.500
0.575 0.125 0.250
0.175 0.625 0.250
0.375 0.425 0.750
0.875 0.825 0.750
0.000 0.000 0.000
0.750 0.250 0.500
```

Output
* E_tot: -4.143 eV per atom
* volume: 140 Å³ per cell
* Fermi-level density of states: 0.304 states/eV per atom

---

# 20
NiGe3W | PBE-GGA | optimized geometry

Structure (POSCAR):
```
NiGe3W
1.0
4.864 0.000 0.000
0.000 4.864 0.000
0.000 0.000 4.864
Ni Ge W
1 3 1
direct
0.500 0.500 0.500
0.000 0.500 0.000
0.000 0.000 0.500
0.500 0.000 0.000
0.000 0.000 0.000
```

Output
* E_tot: -5.578 eV per atom
* formation enthalpy at 0 K: 90.7 kJ per mole of atoms
* volume: 115 Å³ per cell
* Fermi-level density of states: 1.792 states/eV per atom